No. 1
Density functional theory data (PBE) for a relaxed CuSbSe crystal.

- M_tot: 0.000 μB per formula unit
- DOS at the Fermi energy: 4.69 states/eV per cell
- Formation energy (no corrections): 0.37 eV/f.u.

a b c (Å): 4.256 5.940 11.175
angles (deg): 90.00 90.00 90.00
Space group Fmm2 (No. 42)
Unique sites:
Cu: 0.000 0.000 0.000
Sb: 0.000 0.000 0.641
Se: 0.000 0.000 0.399

No. 2
Density functional theory data (PBE) for a relaxed MnNb2Co crystal.

- M_tot: 0.242 μB per formula unit
- DOS at the Fermi energy: 13.35 states/eV per cell
- DFT formation energy: 0.28 eV/atom

a b c (Å): 3.0001 3.0001 23.2183
angles (deg): 90.00 90.00 120.00
Space group R-3m (No. 166, hexagonal axes)
Unique sites:
Mn: 0.0000 0.0000 0.0000
Nb: 0.0000 0.0000 0.2508
Co: 0.0000 0.0000 0.5000

No. 3
Density functional theory data (PBE) for a relaxed PmSn2Te crystal.

- M_tot: 0.000 μB per formula unit
- DOS at the Fermi energy: 2.22 states/eV per cell
- Formation energy (no corrections): -2.19 eV/f.u.

a b c (Å): 4.419 4.419 5.878
angles (deg): 90.00 90.00 90.00
Space group P4/mmm (No. 123)
Unique sites:
Pm: 0.000 0.000 0.000
Sn: 0.000 0.500 0.500
Te: 0.500 0.500 0.000

No. 4
Density functional theory data (PBE) for a relaxed Ho2TcRu3 crystal.

- M_tot: 0.000 μB per formula unit
- DOS at the Fermi energy: 12.23 states/eV per cell
- DFT formation energy: -0.31 eV/atom

a b c (Å): 5.4275 5.4275 8.4180
angles (deg): 90.00 90.00 120.00
Space group P6_3/mmc (No. 194)
Unique sites:
Ho: 0.3333 0.6667 0.0640
Tc: 0.0000 0.0000 0.0000
Ru: 0.1721 0.3443 0.7500

No. 5
Density functional theory data (PBE) for a relaxed InSbSe2Cl crystal.

- M_tot: 0.000 μB per formula unit
- DOS at the Fermi energy: 1.81 states/eV per cell
- Formation energy (no corrections): -2.17 eV/f.u.

a b c (Å): 6.347 5.426 9.884
angles (deg): 90.00 90.16 90.00
Space group P2_1/m (No. 11)
Unique sites:
In: 0.145 0.250 0.125
Sb: 0.177 0.250 0.627
Se: 0.027 0.750 0.132
Se: 0.032 0.750 0.619
Cl: 0.476 0.750 0.846

No. 6
Density functional theory data (PBE) for a relaxed TlCuO3 crystal.

- M_tot: 0.000 μB per formula unit
- DOS at the Fermi energy: 22.84 states/eV per cell
- Formation energy (no corrections): -1.98 eV/f.u.

a b c (Å): 10.496 8.785 5.434
angles (deg): 90.00 93.01 90.00
Space group C2/c (No. 15)
Unique sites:
Tl: 0.244 0.121 0.279
Cu: 0.000 0.168 0.750
Cu: 0.000 0.390 0.250
O: 0.083 0.232 0.453
O: 0.106 0.470 0.938
O: 0.163 0.131 0.874

> Which value of DOS at the Fermi energy does entry 2 give?

13.35 states/eV per cell